First-principles (meta-GGA SCAN) data for MgPtCl2 at its PBEsol-relaxed geometry, as listed in Alexandria.

Lattice parameters (Å, degrees): 4.581 4.581 4.581 60.00 60.00 60.00
Fractional positions:
Cl: 0.750 0.750 0.750
Cl: 0.250 0.250 0.250
Mg: 0.500 0.500 0.500
Pt: 0.000 0.000 0.000

Output
The space-group type is Fm-3m. The uncorrected formation energy comes out at -214 meV per atom. Its distance to the lowest polymorph of the same formula is 450.9 meV/atom. Its calculated volume is 17.0 Å³ per atom.